*w*
# La5Hg3, single point on PBEsol structure, DFT meta-GGA SCAN
data_La5Hg3
_chemical_formula_sum 'La20 Hg12'
_cell_length_a 12.425
_cell_length_b 12.425
_cell_length_c 6.076
_cell_angle_alpha 90.00
_cell_angle_beta 90.00
_cell_angle_gamma 90.00
_space_group_name_H-M_alt 'I 4/m c m'
_space_group_IT_number 140
_space_group_name_Hall '-I 4 2c'
loop_
_atom_site_label
_atom_site_fract_x
_atom_site_fract_y
_atom_site_fract_z
_atom_site_occupancy
La1 0.000 0.500 0.250 1
La2 0.087 0.222 0.000 1
Hg1 0.000 0.000 0.250 1
Hg2 0.161 0.339 0.500 1
# crystal system: tetragonal
# magnetic moment: 0.0239 μB per atom


*x*
# La5Hg3, single point on PBEsol structure, DFT meta-GGA SCAN
data_La5Hg3
_chemical_formula_sum 'La10 Hg6'
_cell_length_a 7.698
_cell_length_b 10.836
_cell_length_c 5.557
_cell_angle_alpha 90.00
_cell_angle_beta 90.00
_cell_angle_gamma 90.00
_space_group_name_H-M_alt 'C m m m'
_space_group_IT_number 65
_space_group_name_Hall '-C 2 2'
loop_
_atom_site_label
_atom_site_fract_x
_atom_site_fract_y
_atom_site_fract_z
_atom_site_occupancy
La1 0.000 0.000 0.000 1
La2 0.216 0.500 0.500 1
La3 0.250 0.250 0.000 1
Hg1 0.000 0.226 0.500 1
Hg2 0.000 0.500 0.000 1
# crystal system: orthorhombic
# magnetic moment: 0.0008 μB per atom


Most stable one: *w*, least stable one: *x*.


*w*
# La2YZn, single point on PBEsol structure, DFT meta-GGA SCAN
data_La2YZn
_chemical_formula_sum 'La4 Y2 Zn2'
_cell_length_a 3.715
_cell_length_b 5.456
_cell_length_c 11.301
_cell_angle_alpha 90.00
_cell_angle_beta 90.00
_cell_angle_gamma 90.00
_space_group_name_H-M_alt 'I m m 2'
_space_group_IT_number 44
loop_
_space_group_symop_operation_xyz
'x,y,z'
'-x,-y,z'
'-x,y,z'
'x,-y,z'
'x+1/2,y+1/2,z+1/2'
'-x+1/2,-y+1/2,z+1/2'
'-x+1/2,y+1/2,z+1/2'
'x+1/2,-y+1/2,z+1/2'
loop_
_atom_site_label
_atom_site_fract_x
_atom_site_fract_y
_atom_site_fract_z
_atom_site_occupancy
La1 0.000 0.000 0.000 1
La2 0.000 0.500 0.212 1
Y1 0.000 0.500 0.786 1
Zn1 0.000 0.000 0.488 1
# crystal system: orthorhombic
# magnetic moment: 0.0000 μB per atom


*x*
# La2YZn, single point on PBEsol structure, DFT meta-GGA SCAN
data_La2YZn
_chemical_formula_sum 'La2 Y1 Zn1'
_cell_length_a 5.536
_cell_length_b 5.536
_cell_length_c 3.705
_cell_angle_alpha 90.00
_cell_angle_beta 90.00
_cell_angle_gamma 90.00
_space_group_name_H-M_alt 'P 4/m m m'
_space_group_IT_number 123
_space_group_name_Hall '-P 4 2'
loop_
_atom_site_label
_atom_site_fract_x
_atom_site_fract_y
_atom_site_fract_z
_atom_site_occupancy
La1 0.000 0.500 0.000 1
Y1 0.000 0.000 0.500 1
Zn1 0.500 0.500 0.500 1
# crystal system: tetragonal
# magnetic moment: 0.0000 μB per atom


Most stable one: *w*, least stable one: *x*.


*w*
# Sb2PbCl, single point on PBEsol structure, DFT meta-GGA SCAN
data_Sb2PbCl
_chemical_formula_sum 'Sb8 Pb4 Cl4'
_cell_length_a 7.404
_cell_length_b 7.404
_cell_length_c 7.404
_cell_angle_alpha 90.00
_cell_angle_beta 90.00
_cell_angle_gamma 90.00
_space_group_name_H-M_alt 'F -4 3 m'
_space_group_IT_number 216
_space_group_name_Hall 'F -4 2 3'
loop_
_atom_site_label
_atom_site_fract_x
_atom_site_fract_y
_atom_site_fract_z
_atom_site_occupancy
Sb1 0.000 0.000 0.000 1
Sb2 0.250 0.250 0.250 1
Pb1 0.000 0.000 0.500 1
Cl1 0.250 0.250 0.750 1
# crystal system: cubic
# magnetic moment: 0.0000 μB per atom


*x*
# Sb2PbCl, single point on PBEsol structure, DFT meta-GGA SCAN
data_Sb2PbCl
_chemical_formula_sum 'Sb6 Pb3 Cl3'
_cell_length_a 3.9488
_cell_length_b 3.9488
_cell_length_c 26.2782
_cell_angle_alpha 90.00
_cell_angle_beta 90.00
_cell_angle_gamma 120.00
_space_group_name_H-M_alt 'R 3 m'
_space_group_IT_number 160
_space_group_name_Hall 'R 3 -2"'
loop_
_atom_site_label
_atom_site_fract_x
_atom_site_fract_y
_atom_site_fract_z
_atom_site_occupancy
Sb1 0.0000 0.0000 0.0000 1
Sb2 0.0000 0.0000 0.2666 1
Pb1 0.0000 0.0000 0.7632 1
Cl1 0.0000 0.0000 0.5034 1
# crystal system: trigonal
# magnetic moment: 0.0000 μB per atom


Most stable one: *x*, least stable one: *w*.


*w*
# MnTl2Se, single point on PBEsol structure, DFT meta-GGA SCAN
data_MnTl2Se
_chemical_formula_sum 'Mn2 Tl4 Se2'
_cell_length_a 3.390
_cell_length_b 3.719
_cell_length_c 15.341
_cell_angle_alpha 90.00
_cell_angle_beta 90.00
_cell_angle_gamma 90.00
_space_group_name_H-M_alt 'I m m m'
_space_group_IT_number 71
_space_group_name_Hall '-I 2 2'
loop_
_atom_site_label
_atom_site_fract_x
_atom_site_fract_y
_atom_site_fract_z
_atom_site_occupancy
Mn1 0.000 0.000 0.000 1
Tl1 0.000 0.500 0.325 1
Se1 0.000 0.000 0.500 1
# crystal system: orthorhombic
# magnetic moment: 1.0260 μB per atom


*x*
# MnTl2Se, single point on PBEsol structure, DFT meta-GGA SCAN
data_MnTl2Se
_chemical_formula_sum 'Mn2 Tl4 Se2'
_cell_length_a 6.186
_cell_length_b 7.744
_cell_length_c 3.852
_cell_angle_alpha 90.00
_cell_angle_beta 90.00
_cell_angle_gamma 90.00
_space_group_name_H-M_alt 'C m m m'
_space_group_IT_number 65
_space_group_name_Hall '-C 2 2'
loop_
_atom_site_label
_atom_site_fract_x
_atom_site_fract_y
_atom_site_fract_z
_atom_site_occupancy
Mn1 0.000 0.000 0.000 1
Tl1 0.250 0.250 0.500 1
Se1 0.000 0.500 0.000 1
# crystal system: orthorhombic
# magnetic moment: 1.1630 μB per atom


Most stable one: *w*, least stable one: *x*.